No. 1
Compound: PmPu2Tc
Source: the Alexandria database
Functional: PBE-GGA
Structure: optimized geometry

excess energy over the best structure of this formula in the dataset = 133 meV per atom
E_form = 0.250 eV/atom

a = 5.7008 Å, b = 5.7008 Å, c = 5.7008 Å
α = 49.06°, β = 49.06°, γ = 49.06°
With the nearest neighbours (Å) after each atom.
Sites, in units of the cell vectors:
Pm: 0.0000 0.0000 0.0000  8 Pu 3.17-3.40
Pu: 0.2265 0.2265 0.2265  3 Tc 2.88, 3 Pm 3.17
Pu: 0.7735 0.7735 0.7735  3 Tc 2.88, 3 Pm 3.17
Tc: 0.5000 0.5000 0.5000  6 Pu 2.88

=====

No. 2
Compound: MgPCl
Source: the Alexandria database
Functional: PBE-GGA
Structure: optimized geometry

excess energy over the best structure of this formula in the dataset = 0 meV per atom
formation energy (no corrections) = -531 meV per atom

a = 3.2701 Å, b = 3.2701 Å, c = 7.7198 Å
α = 90.00°, β = 90.00°, γ = 120.00°
With the nearest neighbours (Å) after each atom.
Sites, in units of the cell vectors:
Mg: 0.0000 0.0000 0.0000  3 Cl 2.42
P: 0.6667 0.3333 0.2616  3 Mg 2.76
Cl: 0.3333 0.6667 0.8031  3 Mg 2.42

=====

No. 3
Compound: WCl7
Source: the Alexandria database
Functional: PBE-GGA
Structure: optimized geometry

formation energy (no corrections) = 903 meV per atom

a = 6.0512 Å, b = 6.0512 Å, c = 6.0512 Å
α = 60.00°, β = 60.00°, γ = 60.00°
With the nearest neighbours (Å) after each atom.
Sites, in units of the cell vectors:
W: 0.0000 0.0000 0.0000  12 Cl 3.03
Cl: 0.0000 0.0000 0.5000  10 Cl 3.03, 2 W 3.03
Cl: 0.0000 0.5000 0.0000  10 Cl 3.03, 2 W 3.03
Cl: 0.0000 0.5000 0.5000  10 Cl 3.03, 2 W 3.03
Cl: 0.5000 0.0000 0.0000  10 Cl 3.03, 2 W 3.03
Cl: 0.5000 0.0000 0.5000  10 Cl 3.03, 2 W 3.03
Cl: 0.5000 0.5000 0.0000  10 Cl 3.03, 2 W 3.03
Cl: 0.5000 0.5000 0.5000  12 Cl 3.03

=====

No. 4
Compound: BiRu2PbI
Source: the Alexandria database
Functional: PBE-GGA
Structure: optimized geometry

formation energy (no corrections) = 1668 meV per atom

a = 5.1126 Å, b = 5.1126 Å, c = 6.0721 Å
α = 90.00°, β = 90.00°, γ = 90.00°
With the nearest neighbours (Å) after each atom.
Sites, in units of the cell vectors:
Bi: 0.0000 0.0000 0.0000  4 I 3.62, 8 Ru 3.97
Ru: 0.0000 0.5000 0.5000  2 Pb 2.56
Ru: 0.5000 0.0000 0.5000  2 Pb 2.56
Pb: 0.5000 0.5000 0.5000  4 Ru 2.56
I: 0.5000 0.5000 0.0000  2 Pb 3.04

=====

- Which formula does entry 4 have?
  BiRu2PbI